The following is a DFT calculation (GGA-PBE) of a relaxed structure of Li3AlP.

Computed properties:
**Calculated volume**: 21.34 Å³/atom
**Formation energy from the elements**: 595 meV per atom
**Size of the total moment**: 0.858 μB per cell
**Theoretical density**: 1.226 g/cm³
**Uncorrected energy**: -2.384 eV/atom
**Excess energy over the best structure of this formula in the dataset**: 0.689 eV/atom

Lattice parameters (Å, degrees): 4.7431 4.7431 4.7431 90.00 90.00 90.00
With the nearest neighbours (Å) after each atom.
Positions (direct):
Li  0.0000  0.0000  0.5000  2 Al 2.37
Li  0.0000  0.5000  0.0000  2 Al 2.37
Li  0.5000  0.0000  0.0000  2 Al 2.37
Al  0.0000  0.0000  0.0000  6 Li 2.37
P  0.5000  0.5000  0.5000  12 Li 3.35

---

The following is a DFT calculation (GGA-PBE) of a relaxed structure of Sm2YHg2.

Computed properties:
**Calculated volume**: 28.11 Å³/atom
**Formation energy from the elements**: -386 meV per atom
**Size of the total moment**: 0.684 μB per cell
**Theoretical density**: 9.342 g/cm³
**Uncorrected energy**: -3.688 eV/atom
**Excess energy over the best structure of this formula in the dataset**: 0.000 eV/atom

Lattice parameters (Å, degrees): 3.7802 5.3514 14.0252 90.00 97.75 90.00
With the nearest neighbours (Å) after each atom.
Positions (direct):
Sm  0.0464  0.2500  0.0913  8 Hg 3.27-3.31
Sm  0.2338  0.2500  0.4687  2 Hg 3.19, 4 Sm 3.39
Sm  0.7662  0.7500  0.5313  2 Hg 3.19, 4 Sm 3.39
Sm  0.9536  0.7500  0.9087  8 Hg 3.27-3.31
Y  0.1467  0.7500  0.2922  6 Hg 3.22-3.28
Y  0.8533  0.2500  0.7078  6 Hg 3.22-3.28
Hg  0.3582  0.7500  0.7164  4 Sm 3.19-3.28, 4 Y 3.28
Hg  0.4474  0.2500  0.8958  2 Y 3.22, 6 Sm 3.28-3.31
Hg  0.5526  0.7500  0.1042  2 Y 3.22, 6 Sm 3.28-3.31
Hg  0.6418  0.2500  0.2836  4 Sm 3.19-3.28, 4 Y 3.28

---

The following is a DFT calculation (GGA-PBE) of a relaxed structure of Te2PbSe.

Computed properties:
**Calculated volume**: 28.18 Å³/atom
**Formation energy without anion corrections**: 172 meV per atom
**Size of the total moment**: 0.000 μB per cell
**Theoretical density**: 7.974 g/cm³
**Uncorrected energy**: -3.197 eV/atom

Lattice parameters (Å, degrees): 5.4015 5.4015 3.8648 90.00 90.00 91.23
With the nearest neighbours (Å) after each atom.
Positions (direct):
Te  0.0000  0.5000  0.0000  4 Pb 3.32, 4 Se 3.32
Te  0.5000  0.0000  0.0000  4 Pb 3.32, 4 Se 3.32
Pb  0.0000  0.0000  0.5000  8 Te 3.32
Se  0.5000  0.5000  0.5000  8 Te 3.32

---

The following is a DFT calculation (GGA-PBE) of a relaxed structure of AcGa2Pt4.

Computed properties:
**Calculated volume**: 19.67 Å³/atom
**Formation energy from the elements**: -750 meV per atom
**Size of the total moment**: 0.000 μB per cell
**Theoretical density**: 13.829 g/cm³
**Uncorrected energy**: -5.654 eV/atom

Lattice parameters (Å, degrees): 18.3741 4.1762 7.1784 90.00 90.00 90.00
With the nearest neighbours (Å) after each atom.
Positions (direct):
Ac  0.1418  0.2500  0.0090  6 Pt 2.95-3.20, 1 Ga 3.31
Ac  0.3582  0.7500  0.5090  6 Pt 2.95-3.20, 1 Ga 3.31
Ac  0.6418  0.2500  0.4910  6 Pt 2.95-3.20, 1 Ga 3.31
Ac  0.8582  0.7500  0.9910  6 Pt 2.95-3.20, 1 Ga 3.31
Ga  0.0333  0.7500  0.2675  7 Pt 2.54-2.78
Ga  0.1959  0.2500  0.5694  6 Pt 2.57-2.61
Ga  0.3041  0.7500  0.0694  6 Pt 2.57-2.61
Ga  0.4667  0.2500  0.7675  7 Pt 2.54-2.78
Ga  0.5333  0.7500  0.2325  7 Pt 2.54-2.78
Ga  0.6959  0.2500  0.9306  6 Pt 2.57-2.61
Ga  0.8041  0.7500  0.4306  6 Pt 2.57-2.61
Ga  0.9667  0.2500  0.7325  7 Pt 2.54-2.78
Pt  0.0231  0.7500  0.8807  3 Ga 2.56-2.78, 2 Pt 2.83
Pt  0.0593  0.2500  0.4694  4 Ga 2.54-2.61
Pt  0.1662  0.7500  0.3754  3 Ga 2.56-2.57
Pt  0.2306  0.7500  0.7594  3 Ga 2.57-2.60
Pt  0.2694  0.2500  0.2594  3 Ga 2.57-2.60
Pt  0.3338  0.2500  0.8754  3 Ga 2.56-2.57
Pt  0.4407  0.7500  0.9694  4 Ga 2.54-2.61
Pt  0.4769  0.2500  0.3807  3 Ga 2.56-2.78, 2 Pt 2.83
Pt  0.5231  0.7500  0.6193  3 Ga 2.56-2.78, 2 Pt 2.83
Pt  0.5593  0.2500  0.0306  4 Ga 2.54-2.61
Pt  0.6662  0.7500  0.1246  3 Ga 2.56-2.57
Pt  0.7306  0.7500  0.7406  3 Ga 2.57-2.60
Pt  0.7694  0.2500  0.2406  3 Ga 2.57-2.60
Pt  0.8338  0.2500  0.6246  3 Ga 2.56-2.57
Pt  0.9407  0.7500  0.5306  4 Ga 2.54-2.61
Pt  0.9769  0.2500  0.1193  3 Ga 2.56-2.78, 2 Pt 2.83

---

The following is a DFT calculation (GGA-PBE) of a relaxed structure of ErZn9Ni3.

Computed properties:
**Calculated volume**: 14.55 Å³/atom
**Formation energy from the elements**: -269 meV per atom
**Size of the total moment**: 0.000 μB per cell
**Theoretical density**: 8.183 g/cm³
**Uncorrected energy**: -2.837 eV/atom

Lattice parameters (Å, degrees): 6.6722 6.6722 6.5644 97.95 97.95 135.88
With the nearest neighbours (Å) after each atom.
Positions (direct):
Er  0.0000  0.0000  0.0000  14 Zn 2.99-3.32, 6 Ni 3.28-3.34
Zn  0.0208  0.6705  0.6619  3 Ni 2.56-2.65, 6 Zn 2.66-2.83
Zn  0.2776  0.5014  0.7843  3 Ni 2.48-2.55, 5 Zn 2.54-2.77
Zn  0.3295  0.9792  0.3381  3 Ni 2.56-2.65, 6 Zn 2.66-2.83
Zn  0.4986  0.7224  0.2157  3 Ni 2.48-2.55, 5 Zn 2.54-2.77
Zn  0.5000  0.5000  0.5000  2 Ni 2.51, 8 Zn 2.54-2.73
Zn  0.5014  0.2776  0.7843  3 Ni 2.48-2.55, 5 Zn 2.54-2.77
Zn  0.6705  0.0208  0.6619  3 Ni 2.56-2.65, 6 Zn 2.66-2.83
Zn  0.7224  0.4986  0.2157  3 Ni 2.48-2.55, 5 Zn 2.54-2.77
Zn  0.9792  0.3295  0.3381  3 Ni 2.56-2.65, 6 Zn 2.66-2.83
Ni  0.0000  0.0000  0.5000  10 Zn 2.51-2.65
Ni  0.0000  0.5000  0.0000  8 Zn 2.48-2.61, 2 Ni 2.51
Ni  0.5000  0.0000  0.0000  8 Zn 2.48-2.61, 2 Ni 2.51

---

The following is a DFT calculation (GGA-PBE) of a relaxed structure of MgTeH2.

Computed properties:
**Calculated volume**: 13.49 Å³/atom
**Size of the total moment**: 0.000 μB per cell
**Theoretical density**: 4.738 g/cm³
**Uncorrected energy**: -2.443 eV/atom
**Excess energy over the best structure of this formula in the dataset**: 0.466 eV/atom

Lattice parameters (Å, degrees): 4.2411 4.2411 4.2411 60.00 60.00 60.00
With the nearest neighbours (Å) after each atom.
Positions (direct):
Mg  0.0000  0.0000  0.0000  8 H 2.60
Te  0.5000  0.5000  0.5000  8 H 2.60
H  0.2500  0.2500  0.2500  4 Mg 2.60, 4 Te 2.60
H  0.7500  0.7500  0.7500  4 Mg 2.60, 4 Te 2.60